Crystalline SmZr2ZnN4 at its relaxed geometry, computed with PBE-GGA.

Space-group type: Cmcm
ΔE_f (raw): -1.203 eV/atom

a b c (Å): 3.3123 5.7932 11.2992
angles (deg): 90.00 90.00 106.61
Atoms (fractional coordinates):
Zn  0.8437  0.6874  0.7500
Zr  0.3715  0.7430  0.5457
N  0.5533  0.1066  0.2500
N  0.2721  0.5441  0.1148
N  0.2721  0.5441  0.3852
N  0.7279  0.4559  0.8852
N  0.0000  0.0000  0.0000
Sm  0.8898  0.7795  0.2500
Zr  0.6285  0.2570  0.4543
Zr  0.3715  0.7430  0.9543
Zr  0.6285  0.2570  0.0457
N  0.7279  0.4559  0.6148
N  0.0000  0.0000  0.5000
Sm  0.1102  0.2205  0.7500
Zn  0.1563  0.3126  0.2500
N  0.4467  0.8934  0.7500

=====

Crystalline Ce7Co2Sn2 at its relaxed geometry, computed with PBE-GGA.

Space-group type: Cmmm
Final energy: -66.0 eV/cell

a b c (Å): 6.8765 6.6592 6.8765
angles (deg): 90.02 110.16 89.98
Each line ends with the local moment (μB).
Atoms (fractional coordinates):
Ce  0.4998  0.2058  0.5002  0.54
Ce  0.0002  0.7388  0.4997  0.41
Co  0.2716  0.0000  0.7284  -0.13
Sn  0.8202  0.5000  0.8202  -0.02
Co  0.7284  0.0000  0.2716  -0.13
Sn  0.1798  0.5000  0.1798  -0.02
Ce  0.9998  0.2612  0.5003  0.41
Ce  0.0000  0.0000  0.0000  0.80
Ce  0.5002  0.7942  0.4998  0.54
Ce  0.5003  0.7388  0.9998  0.41
Ce  0.4997  0.2612  0.0002  0.41

=====

Crystalline ScGaNiBr2 at its relaxed geometry, computed with PBE-GGA.

Space-group type: P4/mmm
ΔE_f (raw): -0.217 eV/atom

a b c (Å): 5.3018 4.8475 5.3018
angles (deg): 90.00 90.00 90.00
Atoms (fractional coordinates):
Ni  0.0000  0.5000  0.0000
Br  0.5000  0.0000  0.0000
Br  0.0000  0.0000  0.5000
Sc  0.0000  0.0000  0.0000
Ga  0.5000  0.5000  0.5000

=====

Crystalline Pm7Nd12Tm at its relaxed geometry, computed with PBE-GGA.

Space-group type: R-3
Energy above the most stable polymorph in this dataset: 0.000 eV per formula unit

a b c (Å): 8.9149 8.9149 8.9149
angles (deg): 87.63 87.63 87.63
Atoms (fractional coordinates):
Tm  0.0000  0.0000  0.0000
Nd  0.7265  0.8544  0.2536
Nd  0.4918  0.6136  0.1375
Pm  0.3925  0.0747  0.1479
Nd  0.5082  0.3864  0.8625
Pm  0.1479  0.3925  0.0747
Pm  0.6075  0.9253  0.8521
Pm  0.0747  0.1479  0.3925
Pm  0.8521  0.6075  0.9253
Nd  0.2735  0.1456  0.7464
Nd  0.6136  0.1375  0.4918
Nd  0.8625  0.5082  0.3864
Pm  0.9253  0.8521  0.6075
Pm  0.5000  0.5000  0.5000
Nd  0.8544  0.2536  0.7265
Nd  0.3864  0.8625  0.5082
Nd  0.7464  0.2735  0.1456
Nd  0.1375  0.4918  0.6136
Nd  0.1456  0.7464  0.2735
Nd  0.2536  0.7265  0.8544

=====

Crystalline CaPmErAl at its relaxed geometry, computed with PBE-GGA.

Space-group type: F-43m
Final energy: -15.3 eV/cell

a b c (Å): 5.4199 5.4199 5.4199
angles (deg): 60.00 60.00 60.00
Atoms (fractional coordinates):
Ca  0.2500  0.2500  0.2500
Pm  0.0000  0.0000  0.0000
Er  0.5000  0.5000  0.5000
Al  0.7500  0.7500  0.7500

=====

Crystalline MnCu4Pd7 at its relaxed geometry, computed with PBE-GGA.

Space-group type: P-3m1
Energy above the most stable polymorph in this dataset: 0.000 eV per formula unit

a b c (Å): 4.3200 4.3200 10.6346
angles (deg): 90.00 90.00 120.00
Each line ends with the local moment (μB).
Atoms (fractional coordinates):
Mn  0.0000  0.0000  0.5000  3.88
Cu  0.6667  0.3333  0.3310  0.03
Cu  0.3333  0.6667  0.9073  0.02
Pd  0.0000  0.0000  0.0000  0.01
Cu  0.6667  0.3333  0.0927  0.02
Cu  0.3333  0.6667  0.6690  0.03
Pd  0.3333  0.6667  0.1521  0.03
Pd  0.0000  0.0000  0.7408  0.12
Pd  0.0000  0.0000  0.2592  0.12
Pd  0.3333  0.6667  0.4164  0.17
Pd  0.6667  0.3333  0.5836  0.17
Pd  0.6667  0.3333  0.8479  0.03

=====

Crystalline Hg4TeI2Cl at its relaxed geometry, computed with PBE-GGA.

Space-group type: Pmn2_1
ΔE_f (raw): -0.208 eV/atom

a b c (Å): 7.7039 9.3413 8.6919
angles (deg): 90.00 90.00 90.00
Atoms (fractional coordinates):
Hg  0.4241  0.0861  0.5000
I  0.9547  0.6755  0.2216
Te  0.4537  0.7906  0.5000
I  0.9547  0.6755  0.7784
I  0.4547  0.3245  0.2784
Hg  0.8086  0.8132  0.5000
Hg  0.4374  0.6759  0.1645
Cl  0.5294  0.9840  0.0000
I  0.4547  0.3245  0.7216
Hg  0.3086  0.1868  0.0000
Hg  0.4374  0.6759  0.8355
Hg  0.9374  0.3241  0.3355
Hg  0.9241  0.9139  0.0000
Te  0.9537  0.2094  0.0000
Hg  0.9374  0.3241  0.6645
Cl  0.0294  0.0160  0.5000

=====

Crystalline Rb2LaSiBr6 at its relaxed geometry, computed with PBE-GGA.

Space-group type: I4/mmm
ΔE_f (raw): -1.286 eV/atom

a b c (Å): 8.4742 8.4742 8.2342
angles (deg): 59.03 59.03 90.00
Each line ends with the local moment (μB).
Atoms (fractional coordinates):
Rb  0.7500  0.2500  0.5000  0.00
La  0.0000  0.0000  0.0000  0.12
Br  0.7398  0.7398  0.5204  0.00
Si  0.5000  0.5000  0.0000  0.26
Br  0.2448  0.7552  0.0000  0.01
Br  0.7552  0.2448  0.0000  0.01
Br  0.2602  0.2602  0.4796  0.00
Rb  0.2500  0.7500  0.5000  0.00
Br  0.2448  0.2448  0.0000  0.01
Br  0.7552  0.7552  0.0000  0.01